Compound: NiRh3O
Source: Alexandria via LeMat-Bulk
Functional: GGA+U
Structure: relaxed

abc: 4.062 4.062 4.062
angles: 90.00 90.00 90.00
Space group Pm-3m (No. 221)
Unique sites:
1 Ni 0.000 0.000 0.000 [1 per cell]
2 Rh 0.000 0.500 0.500 [3 per cell]
3 O 0.500 0.500 0.500 [1 per cell]

Values from the calculation:
For the spin magnetization, the calculation gives 3.24 μB per cell. The crystal system is cubic. The value obtained for the calculated volume is 67.0 Å³ per cell. Its density of states at the Fermi level is 7.0 states/eV per cell. Its relative energy among the computed polymorphs is 0 meV per atom. Its total energy is -26.66 eV per cell.